Entry 1:
First-principles (PBE) data for a relaxed structure of La4TlTc, as listed in Alexandria.

Calculated values
Crystal system: cubic
SG: F-43m (216)
Excess energy over the best structure of this formula in the dataset, meV/atom: 878
Energy relative to the elements, eV/atom: 0.673
Density of states at the Fermi level, states/eV/f.u.: 9.6

```
6
Lattice="0.0000 4.4936 4.4936 4.4936 0.0000 4.4936 4.4936 4.4936 0.0000" Properties=species:S:1:pos:R:3 pbc="T T T"
La 5.6071 5.6071 3.3802
La 5.6071 3.3802 5.6071
La 3.3802 5.6071 5.6071
La 3.3802 3.3802 3.3802
Tc 6.7404 6.7404 6.7404
Tl 0.0000 0.0000 0.0000
```

Entry 2:
First-principles (PBE) data for a relaxed structure of K2ScCuO4, as listed in Alexandria.

Calculated values
Crystal system: orthorhombic
SG: Fddd (70)
E_form (uncorrected), eV/f.u.: -12.41

```
16
Lattice="5.4210 0.0000 0.0000 2.7105 6.3410 0.0000 2.7105 0.0000 10.4376" Properties=species:S:1:pos:R:3 pbc="T T T"
K 6.7762 3.1705 9.2128
K 2.7105 0.0000 6.4436
K 5.4210 0.0000 3.9940
K 6.7762 3.1705 1.2248
O 8.2020 4.4314 5.7999
O 2.7810 1.9096 4.6377
O 5.3505 1.9096 5.7999
O 4.1363 1.2609 9.8565
O 4.1363 5.0801 0.5811
O 3.9952 1.2609 0.5811
O 5.3505 4.4314 4.6377
O 9.4162 5.0801 9.8565
Sc 6.7762 3.1705 5.2188
Sc 0.0000 0.0000 0.0000
Cu 4.0657 3.1705 5.2188
Cu 2.7105 0.0000 0.0000
```